Here is a geometry-optimized BeCdPtN2 structure from Alexandria. Energies are from PBEsol.

## Properties
As for the formation energy from raw total energies: 1.26 eV/atom.

a = 3.6969 Å, b = 3.6969 Å, c = 6.0701 Å
α = 90.00°, β = 90.00°, γ = 90.00°
Element x y z (fractional)
1 Pt 0.0000 0.0000 0.0000
2 Cd 0.0000 0.0000 0.5000
3 N 0.0000 0.5000 0.0000
4 N 0.5000 0.0000 0.0000
5 Be 0.5000 0.5000 0.5000

---

Here is a geometry-optimized BeGeSe2 structure from Alexandria. Energies are from PBEsol.

## Properties
As for the formation energy from raw total energies: -0.08 eV/atom.

a = 4.1515 Å, b = 4.1515 Å, c = 7.2507 Å
α = 73.36°, β = 73.36°, γ = 60.00°
Element x y z (fractional)
1 Be 0.0000 0.0000 0.0000
2 Ge 0.5000 0.5000 0.5000
3 Se 0.9020 0.9020 0.2939
4 Se 0.0980 0.0980 0.7061

---

Here is a geometry-optimized ReMoRh structure from Alexandria. Energies are from PBEsol.

## Properties
As for the distance to the lowest polymorph of the same formula: 56 meV per atom.

a = 2.6476 Å, b = 4.3782 Å, c = 4.3782 Å
α = 120.00°, β = 90.00°, γ = 90.00°
Element x y z (fractional)
1 Re 0.8337 0.3333 0.6667
2 Rh 0.3334 0.6667 0.3333
3 Mo 0.8329 0.0000 0.0000

---

Here is a geometry-optimized ZrRh structure from Alexandria. Energies are from PBEsol.

a = 3.0821 Å, b = 4.6127 Å, c = 4.8273 Å
α = 90.00°, β = 90.00°, γ = 90.00°
Element x y z (fractional)
1 Rh 0.0000 0.7500 0.7156
2 Rh 0.0000 0.2500 0.2844
3 Zr 0.5000 0.2500 0.7652
4 Zr 0.5000 0.7500 0.2348

---

Here is a geometry-optimized Li3Mn5O10 structure from Alexandria. Energies are from PBEsol.

## Properties
As for the formation energy from raw total energies: -1.77 eV/atom.

a = 5.0742 Å, b = 4.9259 Å, c = 7.4906 Å
α = 71.64°, β = 72.00°, γ = 80.51°
Element x y z (fractional)
1 O 0.2136 0.3418 0.0573
2 O 0.7827 0.0451 0.1410
3 O 0.2081 0.5447 0.6676
4 O 0.7864 0.6582 0.9427
5 O 0.7797 0.8815 0.5346
6 O 0.7685 0.2155 0.7645
7 O 0.7919 0.4553 0.3324
8 O 0.2315 0.7845 0.2355
9 O 0.2203 0.1185 0.4654
10 O 0.2173 0.9549 0.8590
11 Mn 0.0028 0.8940 0.6935
12 Mn 0.0055 0.6900 0.1049
13 Mn 0.9945 0.3100 0.8951
14 Mn 0.9972 0.1060 0.3065
15 Mn 0.5000 0.0000 0.0000
16 Li 0.0000 0.5000 0.5000
17 Li 0.5012 0.7789 0.4237
18 Li 0.4988 0.2211 0.5763

---

Here is a geometry-optimized SrTi3Pd structure from Alexandria. Energies are from PBEsol.

a = 4.8779 Å, b = 4.8779 Å, c = 4.8779 Å
α = 90.00°, β = 90.00°, γ = 90.00°
Element x y z (fractional)
1 Sr 0.5000 0.5000 0.5000
2 Ti 0.0000 0.0000 0.5000
3 Ti 0.5000 0.0000 0.0000
4 Ti 0.0000 0.5000 0.0000
5 Pd 0.0000 0.0000 0.0000

---

Here is a geometry-optimized Ba3MnTl structure from Alexandria. Energies are from PBEsol.

a = 6.5255 Å, b = 6.5255 Å, c = 6.5255 Å
α = 90.00°, β = 90.00°, γ = 90.00°
Element x y z (fractional)
1 Ba 0.0000 0.5000 0.0000
2 Ba 0.5000 0.0000 0.0000
3 Ba 0.0000 0.0000 0.5000
4 Tl 0.0000 0.0000 0.0000
5 Mn 0.5000 0.5000 0.5000

---

Here is a geometry-optimized FeAsS2 structure from Alexandria. Energies are from PBEsol.

## Properties
As for the formation energy from raw total energies: -0.19 eV/atom.

a = 3.2180 Å, b = 3.2180 Å, c = 7.7011 Å
α = 77.94°, β = 77.94°, γ = 60.00°
Element x y z (fractional)
1 S 0.8875 0.8875 0.3375
2 S 0.1125 0.1125 0.6625
3 As 0.0000 0.0000 0.0000
4 Fe 0.5000 0.5000 0.5000

---

Here is a geometry-optimized Mg2SbPb structure from Alexandria. Energies are from PBEsol.

## Properties
As for the formation energy from raw total energies: -0.12 eV/atom. As for the distance to the lowest polymorph of the same formula: 22 meV per atom.

a = 4.6020 Å, b = 5.0016 Å, c = 5.4474 Å
α = 117.33°, β = 114.99°, γ = 90.00°
Element x y z (fractional)
1 Sb 0.5000 0.0000 0.0000
2 Mg 0.2491 0.2491 0.4981
3 Mg 0.7509 0.7509 0.5019
4 Pb 0.0000 0.5000 0.0000

---

Here is a geometry-optimized CsCrW3 structure from Alexandria. Energies are from PBEsol.

a = 4.6558 Å, b = 4.6558 Å, c = 4.6558 Å
α = 90.00°, β = 90.00°, γ = 90.00°
Element x y z (fractional)
1 W 0.0000 0.5000 0.0000
2 W 0.5000 0.0000 0.0000
3 W 0.0000 0.0000 0.5000
4 Cr 0.0000 0.0000 0.0000
5 Cs 0.5000 0.5000 0.5000

---

Here is a geometry-optimized TlReSn3 structure from Alexandria. Energies are from PBEsol.

a = 5.1724 Å, b = 5.1724 Å, c = 5.1724 Å
α = 90.00°, β = 90.00°, γ = 90.00°
Element x y z (fractional)
1 Sn 0.5000 0.0000 0.0000
2 Sn 0.0000 0.0000 0.5000
3 Sn 0.0000 0.5000 0.0000
4 Tl 0.5000 0.5000 0.5000
5 Re 0.0000 0.0000 0.0000

---

Here is a geometry-optimized CaMn7O12 structure from Alexandria. Energies are from PBEsol.

## Properties
As for the formation energy from raw total energies: -1.79 eV/atom.

a = 6.3401 Å, b = 6.3401 Å, c = 6.3399 Å
α = 109.47°, β = 109.47°, γ = 109.47°
Element x y z (fractional)
1 O 0.3215 0.3081 0.6296
2 O 0.6295 0.8213 0.8082
3 O 0.8083 0.1296 0.3214
4 O 0.0131 0.8213 0.1918
5 O 0.6785 0.6919 0.3704
6 O 0.8082 0.4869 0.6786
7 O 0.3705 0.1787 0.1918
8 O 0.1918 0.5131 0.3214
9 O 0.6787 0.3083 0.9871
10 O 0.9869 0.1787 0.8082
11 O 0.1917 0.8704 0.6786
12 O 0.3213 0.6917 0.0129
13 Ca 0.5000 0.0000 0.5000
14 Mn 0.5000 0.5000 0.0000
15 Mn 0.0000 0.5000 0.5000
16 Mn 0.0000 0.0000 0.0000
17 Mn 0.5000 0.0000 0.0000
18 Mn 0.0000 0.0000 0.5000
19 Mn 0.0000 0.5000 0.0000
20 Mn 0.5000 0.5000 0.5000

---

Here is a geometry-optimized CaAgPb3 structure from Alexandria. Energies are from PBEsol.

a = 5.7225 Å, b = 5.7225 Å, c = 5.7225 Å
α = 90.00°, β = 90.00°, γ = 90.00°
Element x y z (fractional)
1 Ag 0.5000 0.5000 0.5000
2 Pb 0.5000 0.0000 0.0000
3 Pb 0.0000 0.5000 0.0000
4 Pb 0.0000 0.0000 0.5000
5 Ca 0.0000 0.0000 0.0000

---

Here is a geometry-optimized KSm3 structure from Alexandria. Energies are from PBEsol.

a = 5.1309 Å, b = 5.1309 Å, c = 6.4238 Å
α = 113.54°, β = 113.54°, γ = 90.00°
Element x y z (fractional)
1 Sm 0.7500 0.2500 0.5000
2 Sm 0.5000 0.5000 0.0000
3 Sm 0.2500 0.7500 0.5000
4 K 0.0000 0.0000 0.0000

---

Here is a geometry-optimized SmCoGe3 structure from Alexandria. Energies are from PBEsol.

a = 4.2344 Å, b = 4.2344 Å, c = 5.7036 Å
α = 111.79°, β = 111.79°, γ = 90.00°
Element x y z (fractional)
1 Ge 0.2268 0.2268 0.4535
2 Ge 0.4031 0.9031 0.8061
3 Ge 0.9031 0.4031 0.8061
4 Co 0.9963 0.9963 0.9926
5 Sm 0.6622 0.6622 0.3243

---

Here is a geometry-optimized Be3Ag structure from Alexandria. Energies are from PBEsol.

## Properties
As for the distance to the lowest polymorph of the same formula: 41 meV per atom.

a = 3.4146 Å, b = 3.4146 Å, c = 7.4762 Å
α = 103.20°, β = 103.20°, γ = 90.00°
Element x y z (fractional)
1 Ag 0.6263 0.6263 0.2525
2 Ag 0.3737 0.3737 0.7475
3 Be 0.7500 0.2500 0.5000
4 Be 0.0000 0.5000 0.0000
5 Be 0.2500 0.7500 0.5000
6 Be 0.1203 0.1203 0.2406
7 Be 0.5000 0.0000 0.0000
8 Be 0.8797 0.8797 0.7594

---

Here is a geometry-optimized Sr2AgPt structure from Alexandria. Energies are from PBEsol.

## Properties
As for the distance to the lowest polymorph of the same formula: 232 meV per atom.

a = 4.3793 Å, b = 4.3738 Å, c = 6.1485 Å
α = 90.04°, β = 90.00°, γ = 90.00°
Element x y z (fractional)
1 Ag 0.5000 0.5000 0.0000
2 Sr 0.5000 0.5000 0.5000
3 Sr 0.0000 0.0000 0.0000
4 Pt 0.0000 0.0000 0.5000

---

Here is a geometry-optimized ZrHSe2Br structure from Alexandria. Energies are from PBEsol.

a = 4.0771 Å, b = 4.0771 Å, c = 5.0412 Å
α = 90.00°, β = 90.00°, γ = 90.00°
Element x y z (fractional)
1 H 0.0000 0.0000 0.0000
2 Se 0.5000 0.0000 0.0000
3 Se 0.0000 0.5000 0.0000
4 Br 0.0000 0.0000 0.5000
5 Zr 0.5000 0.5000 0.5000

---

Here is a geometry-optimized Sr2Nb2O7 structure from Alexandria. Energies are from PBEsol.

## Properties
As for the formation energy from raw total energies: -2.87 eV/atom.

a = 3.9765 Å, b = 5.7231 Å, c = 13.6103 Å
α = 90.00°, β = 98.40°, γ = 90.00°
Element x y z (fractional)
1 O 0.0922 0.1655 0.1845
2 O 0.3496 0.4655 0.6991
3 O 0.5477 0.4453 0.0955
4 O 0.7849 0.2855 0.5699
5 O 0.2151 0.7855 0.4301
6 O 0.2005 0.2650 0.4010
7 O 0.7995 0.7650 0.5990
8 O 0.9921 0.2281 0.9841
9 O 0.1110 0.6767 0.2220
10 O 0.9078 0.6655 0.8155
11 O 0.8890 0.1767 0.7780
12 O 0.0079 0.7281 0.0159
13 O 0.6504 0.9655 0.3009
14 O 0.4523 0.9453 0.9045
15 Nb 0.0576 0.4724 0.1152
16 Nb 0.9424 0.9724 0.8848
17 Nb 0.1615 0.9995 0.3230
18 Nb 0.8385 0.4995 0.6770
19 Sr 0.5518 0.9718 0.1037
20 Sr 0.4482 0.4718 0.8963
21 Sr 0.2908 0.0347 0.5815
22 Sr 0.7092 0.5347 0.4185

---

Here is a geometry-optimized ZrMnSb2Br structure from Alexandria. Energies are from PBEsol.

## Properties
As for the formation energy from raw total energies: 0.39 eV/atom.

a = 4.6106 Å, b = 5.1171 Å, c = 5.1171 Å
α = 90.00°, β = 90.00°, γ = 90.00°
Element x y z (fractional)
1 Sb 0.0000 0.5000 0.0000
2 Sb 0.0000 0.0000 0.5000
3 Mn 0.0000 0.0000 0.0000
4 Br 0.5000 0.0000 0.0000
5 Zr 0.5000 0.5000 0.5000

---

Here is a geometry-optimized Ca3TlB structure from Alexandria. Energies are from PBEsol.

a = 5.8224 Å, b = 5.8224 Å, c = 5.8224 Å
α = 90.00°, β = 90.00°, γ = 90.00°
Element x y z (fractional)
1 Ca 0.0000 0.0000 0.5000
2 Ca 0.0000 0.5000 0.0000
3 Ca 0.5000 0.0000 0.0000
4 Tl 0.0000 0.0000 0.0000
5 B 0.5000 0.5000 0.5000

---

Here is a geometry-optimized NaPd2CI structure from Alexandria. Energies are from PBEsol.

## Properties
As for the formation energy from raw total energies: 0.19 eV/atom.

a = 3.9900 Å, b = 3.9900 Å, c = 6.2994 Å
α = 90.00°, β = 90.00°, γ = 90.00°
Element x y z (fractional)
1 C 0.0000 0.0000 0.0000
2 I 0.0000 0.0000 0.5000
3 Pd 0.5000 0.0000 0.0000
4 Pd 0.0000 0.5000 0.0000
5 Na 0.5000 0.5000 0.5000

---

Here is a geometry-optimized CsP2SeO structure from Alexandria. Energies are from PBEsol.

## Properties
As for the formation energy from raw total energies: 1.62 eV/atom.

a = 4.1912 Å, b = 5.4288 Å, c = 5.4288 Å
α = 90.00°, β = 90.00°, γ = 90.00°
Element x y z (fractional)
1 Se 0.5000 0.5000 0.5000
2 P 0.0000 0.0000 0.5000
3 P 0.0000 0.5000 0.0000
4 Cs 0.0000 0.0000 0.0000
5 O 0.5000 0.0000 0.0000

---

Here is a geometry-optimized Al2TlCoSi structure from Alexandria. Energies are from PBEsol.

## Properties
As for the formation energy from raw total energies: 0.42 eV/atom.

a = 4.4512 Å, b = 4.4512 Å, c = 4.8992 Å
α = 90.00°, β = 90.00°, γ = 90.00°
Element x y z (fractional)
1 Al 0.0000 0.5000 0.0000
2 Al 0.5000 0.0000 0.0000
3 Tl 0.0000 0.0000 0.5000
4 Si 0.5000 0.5000 0.5000
5 Co 0.0000 0.0000 0.0000

---

Here is a geometry-optimized ZrHg3C structure from Alexandria. Energies are from PBEsol.

a = 4.5848 Å, b = 4.5848 Å, c = 4.5848 Å
α = 90.00°, β = 90.00°, γ = 90.00°
Element x y z (fractional)
1 C 0.0000 0.0000 0.0000
2 Hg 0.0000 0.0000 0.5000
3 Hg 0.0000 0.5000 0.0000
4 Hg 0.5000 0.0000 0.0000
5 Zr 0.5000 0.5000 0.5000

---

Values of E, in order: -22.9 -17.0 -32.9 -37.4 -139.0 -30.3 -15.7 -23.6 -12.5 -41.4 -26.9 -169.2 -13.2 -14.4 -30.8 -29.5 -15.1 -21.8 -187.3 -27.9 -11.2 -23.8 -13.5 -22.2 -15.3, all in eV per cell.